# SiPb2Br2 (PBE-GGA, optimized geometry)
# Energy above the lowest structure with this stoichiometry: 308 meV per atom
# E_tot: -2.962 eV/atom
data_SiPb2Br2
_cell_length_a 4.741
_cell_length_b 4.741
_cell_length_c 14.315
_cell_angle_alpha 90.00
_cell_angle_beta 90.00
_cell_angle_gamma 90.00
_space_group_name_H-M_alt 'I 4/m m m'
_space_group_IT_number 139
_space_group_name_Hall '-I 4 2'
loop_
_atom_site_label
_atom_site_type_symbol
_atom_site_fract_x
_atom_site_fract_y
_atom_site_fract_z
Si1 Si 0.000 0.000 0.000
Pb1 Pb 0.000 0.000 0.388
Br1 Br 0.000 0.500 0.250